[1]
DFT (PBE-GGA) results for a relaxed structure of Dy2GePt5.

Uncorrected energy   -6.42 eV/atom

a = 5.8268 Å, b = 11.8742 Å, c = 4.1496 Å
α = 90.00°, β = 90.00°, γ = 90.00°
Element x y z (fractional)
Dy 0.2273 0.1335 0.0000
Dy 0.2727 0.6335 0.0000
Dy 0.7273 0.3665 0.0000
Dy 0.7727 0.8665 0.0000
Ge 0.0000 0.5000 0.5000
Ge 0.5000 0.0000 0.5000
Pt 0.0000 0.0000 0.5000
Pt 0.0207 0.7499 0.5000
Pt 0.2312 0.3810 0.0000
Pt 0.2688 0.8810 0.0000
Pt 0.4793 0.2499 0.5000
Pt 0.5000 0.5000 0.5000
Pt 0.5207 0.7501 0.5000
Pt 0.7312 0.1190 0.0000
Pt 0.7688 0.6190 0.0000
Pt 0.9793 0.2501 0.5000

[2]
DFT (PBE-GGA) results for a relaxed structure of DyGePt.

Uncorrected energy   -6.23 eV/atom

a = 11.4501 Å, b = 11.4501 Å, c = 11.4501 Å
α = 157.91°, β = 45.12°, γ = 141.17°
Element x y z (fractional)
Dy 0.0000 0.0000 0.0000
Dy 0.2552 0.0891 0.1661
Dy 0.3348 0.0032 0.3317
Dy 0.5865 0.0865 0.5000
Dy 0.6715 0.0032 0.6683
Dy 0.9229 0.0891 0.8339
Ge 0.1149 0.3848 0.7301
Ge 0.1404 0.7047 0.4357
Ge 0.2690 0.7047 0.5643
Ge 0.6070 0.7052 0.9019
Ge 0.6548 0.3848 0.2699
Ge 0.8033 0.7052 0.0981
Pt 0.3032 0.3757 0.9275
Pt 0.4482 0.3757 0.0725
Pt 0.4767 0.7128 0.7639
Pt 0.7770 0.3789 0.3981
Pt 0.9488 0.7128 0.2361
Pt 0.9808 0.3789 0.6019

[3]
DFT (PBE-GGA) results for a relaxed structure of DyGe3Pt2.

Uncorrected energy   -5.80 eV/atom

a = 8.2314 Å, b = 8.2314 Å, c = 7.5141 Å
α = 114.79°, β = 114.79°, γ = 29.23°
Element x y z (fractional)
Dy 0.1244 0.1244 0.1517
Dy 0.8756 0.8756 0.8483
Ge 0.0445 0.0445 0.6780
Ge 0.3170 0.3170 0.1066
Ge 0.3395 0.3395 0.5394
Ge 0.6605 0.6605 0.4606
Ge 0.6830 0.6830 0.8934
Ge 0.9555 0.9555 0.3220
Pt 0.2125 0.2125 0.6942
Pt 0.4907 0.4907 0.1758
Pt 0.5093 0.5093 0.8242
Pt 0.7875 0.7875 0.3058

[4]
DFT (PBE-GGA) results for a relaxed structure of DyGePt.

Uncorrected energy   -6.19 eV/atom

a = 4.4325 Å, b = 4.4325 Å, c = 3.4994 Å
α = 90.00°, β = 90.00°, γ = 120.00°
Element x y z (fractional)
Dy 0.0000 0.0000 0.0000
Ge 0.6667 0.3333 0.5000
Pt 0.3333 0.6667 0.5000

[5]
DFT (PBE-GGA) results for a relaxed structure of DyGe2Pt.

Uncorrected energy   -5.84 eV/atom

a = 9.5703 Å, b = 9.5703 Å, c = 9.5703 Å
α = 153.71°, β = 125.48°, γ = 61.51°
Element x y z (fractional)
Dy 0.2015 0.2015 0.0000
Dy 0.2390 0.0000 0.2390
Dy 0.7610 0.0000 0.7610
Dy 0.7985 0.7985 0.0000
Ge 0.0740 0.5740 0.5000
Ge 0.1508 0.8007 0.3501
Ge 0.4260 0.4260 0.0000
Ge 0.4506 0.8007 0.6499
Ge 0.5494 0.1993 0.3501
Ge 0.5740 0.5740 0.0000
Ge 0.8492 0.1993 0.6499
Ge 0.9260 0.4260 0.5000
Pt 0.1017 0.3518 0.7500
Pt 0.3982 0.6482 0.7500
Pt 0.6018 0.3518 0.2500
Pt 0.8983 0.6482 0.2500

[6]
DFT (PBE-GGA) results for a relaxed structure of DyGe2Pt.

Uncorrected energy   -5.03 eV/atom

a = 9.4730 Å, b = 9.4730 Å, c = 9.4730 Å
α = 20.61°, β = 20.61°, γ = 20.61°
Element x y z (fractional)
Dy 0.0000 0.0000 0.0000
Ge 0.1055 0.1055 0.1055
Ge 0.8945 0.8945 0.8945
Pt 0.5000 0.5000 0.5000

[7]
DFT (PBE-GGA) results for a relaxed structure of Dy4Ge3Pt.

Uncorrected energy   -5.75 eV/atom

a = 4.0914 Å, b = 4.1375 Å, c = 10.8352 Å
α = 90.00°, β = 90.00°, γ = 90.00°
Element x y z (fractional)
Dy 0.0000 0.0000 0.0000
Dy 0.0000 0.5000 0.4908
Dy 0.5000 0.0000 0.7165
Dy 0.5000 0.5000 0.2206
Ge 0.0000 0.5000 0.7699
Ge 0.5000 0.0000 0.4425
Ge 0.5000 0.5000 0.9366
Pt 0.0000 0.0000 0.2698

[8]
DFT (PBE-GGA) results for a relaxed structure of Dy2Ge6Pt21.

Uncorrected energy   -6.08 eV/atom

a = 8.8495 Å, b = 8.8495 Å, c = 8.8495 Å
α = 60.00°, β = 60.00°, γ = 60.00°
Element x y z (fractional)
Dy 0.2500 0.2500 0.2500
Dy 0.7500 0.7500 0.7500
Ge 0.2324 0.2324 0.7676
Ge 0.2324 0.7676 0.2324
Ge 0.2324 0.7676 0.7676
Ge 0.7676 0.2324 0.2324
Ge 0.7676 0.2324 0.7676
Ge 0.7676 0.7676 0.2324
Pt 0.1190 0.1190 0.1190
Pt 0.1190 0.1190 0.6431
Pt 0.1190 0.6431 0.1190
Pt 0.1528 0.5000 0.5000
Pt 0.1528 0.5000 0.8472
Pt 0.1528 0.8472 0.5000
Pt 0.3569 0.8810 0.8810
Pt 0.5000 0.1528 0.5000
Pt 0.5000 0.1528 0.8472
Pt 0.5000 0.5000 0.1528
Pt 0.5000 0.5000 0.5000
Pt 0.5000 0.5000 0.8472
Pt 0.5000 0.8472 0.1528
Pt 0.5000 0.8472 0.5000
Pt 0.6431 0.1190 0.1190
Pt 0.8472 0.1528 0.5000
Pt 0.8472 0.5000 0.1528
Pt 0.8472 0.5000 0.5000
Pt 0.8810 0.3569 0.8810
Pt 0.8810 0.8810 0.3569
Pt 0.8810 0.8810 0.8810

Number 1: density 15.883 g/cm³, energy of formation from the pure elements -7.34 eV per formula unit, total magnetization 0.0 μB per formula unit. Number 2: density 12.138 g/cm³, energy of formation from the pure elements -3.44 eV per formula unit, total magnetization 0.0 μB per formula unit. Number 3: density 11.422 g/cm³, energy of formation from the pure elements -4.25 eV per formula unit, total magnetization 0.0 μB per formula unit. Number 4: density 11.998 g/cm³, energy of formation from the pure elements -3.31 eV per formula unit, total magnetization 0.0 μB per formula unit. Number 5: density 10.642 g/cm³, energy of formation from the pure elements -3.49 eV per formula unit, total magnetization 0.0 μB per formula unit. Number 6: density 9.059 g/cm³, energy of formation from the pure elements -0.26 eV per formula unit, total magnetization 0.0 μB per formula unit. Number 7: density 9.624 g/cm³, energy of formation from the pure elements -7.68 eV per formula unit, total magnetization 0.0 μB per formula unit. Number 8: density 16.460 g/cm³, energy of formation from the pure elements -12.48 eV per formula unit, total magnetization 0.0 μB per formula unit.